Material: YAl2Cr
Method: DFT, PBE
State: optimized geometry

Output
Crystal system   monoclinic
Calculated formation energy   -0.11 eV per atom
Calculated volume   20.57 Å³ per atom

Geometry as CIF:
```
data_YAl2Cr
_chemical_formula_sum 'Y2 Al4 Cr2'
_cell_length_a 7.533
_cell_length_b 4.353
_cell_length_c 5.612
_cell_angle_alpha 90.00
_cell_angle_beta 116.63
_cell_angle_gamma 90.00
_symmetry_space_group_name_H-M 'C 1 2/m 1'
_symmetry_Int_Tables_number 12
_symmetry_space_group_name_Hall '-C 2y'
loop_
_atom_site_label
_atom_site_fract_x
_atom_site_fract_y
_atom_site_fract_z
Y1 0.000 0.000 0.000
Al1 0.210 0.000 0.630
Cr1 0.000 0.500 0.500
```

***

Material: Y2AlCr
Method: DFT, PBE
State: optimized geometry

Output
Crystal system   tetragonal
Calculated formation energy   0.06 eV per atom
Calculated volume   23.18 Å³ per atom

Geometry as CIF:
```
data_Y2AlCr
_chemical_formula_sum 'Y2 Al1 Cr1'
_cell_length_a 3.336
_cell_length_b 3.336
_cell_length_c 8.330
_cell_angle_alpha 90.00
_cell_angle_beta 90.00
_cell_angle_gamma 90.00
_symmetry_space_group_name_H-M 'P 4 m m'
_symmetry_Int_Tables_number 99
_symmetry_space_group_name_Hall 'P 4 -2'
loop_
_atom_site_label
_atom_site_fract_x
_atom_site_fract_y
_atom_site_fract_z
Y1 0.000 0.000 0.000
Y2 0.500 0.500 0.353
Al1 0.000 0.000 0.608
Cr1 0.500 0.500 0.763
```

***

Material: Y2AlCr
Method: DFT, PBE
State: optimized geometry

Output
Crystal system   trigonal
Calculated formation energy   0.27 eV per atom
Calculated volume   24.65 Å³ per atom

Geometry as CIF:
```
data_Y2AlCr
_chemical_formula_sum 'Y6 Al3 Cr3'
_cell_length_a 3.4644
_cell_length_b 3.4644
_cell_length_c 28.4595
_cell_angle_alpha 90.00
_cell_angle_beta 90.00
_cell_angle_gamma 120.00
_symmetry_space_group_name_H-M 'R -3 m'
_symmetry_Int_Tables_number 166
_symmetry_space_group_name_Hall '-R 3 2"'
loop_
_atom_site_label
_atom_site_fract_x
_atom_site_fract_y
_atom_site_fract_z
Y1 0.0000 0.0000 0.2461
Al1 0.0000 0.0000 0.0000
Cr1 0.0000 0.0000 0.5000
```

***

Material: YAl3Cr
Method: DFT, PBE
State: optimized geometry

Output
Energy above the lowest structure with this stoichiometry   1.947 eV per atom
Crystal system   cubic
Calculated formation energy   1.90 eV per atom
Calculated volume   29.93 Å³ per atom

Geometry as CIF:
```
data_YAl3Cr
_chemical_formula_sum 'Y1 Al3 Cr1'
_cell_length_a 5.309
_cell_length_b 5.309
_cell_length_c 5.309
_cell_angle_alpha 90.00
_cell_angle_beta 90.00
_cell_angle_gamma 90.00
_symmetry_space_group_name_H-M 'P m -3 m'
_symmetry_Int_Tables_number 221
_symmetry_space_group_name_Hall '-P 4 2 3'
loop_
_atom_site_label
_atom_site_fract_x
_atom_site_fract_y
_atom_site_fract_z
Y1 0.000 0.000 0.000
Al1 0.000 0.000 0.500
Cr1 0.500 0.500 0.500
```

***

Material: YbAl8Cr4
Method: DFT, PBE
State: optimized geometry

Output
Crystal system   tetragonal
Calculated formation energy   -0.18 eV per atom
Calculated volume   15.44 Å³ per atom

Geometry as CIF:
```
data_YbAl8Cr4
_chemical_formula_sum 'Yb2 Al16 Cr8'
_cell_length_a 8.892
_cell_length_b 8.892
_cell_length_c 5.076
_cell_angle_alpha 90.00
_cell_angle_beta 90.00
_cell_angle_gamma 90.00
_symmetry_space_group_name_H-M 'I 4/m m m'
_symmetry_Int_Tables_number 139
_symmetry_space_group_name_Hall '-I 4 2'
loop_
_atom_site_label
_atom_site_fract_x
_atom_site_fract_y
_atom_site_fract_z
Yb1 0.000 0.000 0.000
Al1 0.000 0.226 0.500
Al2 0.000 0.333 0.000
Cr1 0.250 0.250 0.250
```

***

Material: AlZnCr
Method: DFT, PBE
State: optimized geometry

Output
Crystal system   cubic
Calculated formation energy   0.46 eV per atom
Calculated volume   17.73 Å³ per atom

Geometry as CIF:
```
data_AlZnCr
_chemical_formula_sum 'Al4 Zn4 Cr4'
_cell_length_a 5.969
_cell_length_b 5.969
_cell_length_c 5.969
_cell_angle_alpha 90.00
_cell_angle_beta 90.00
_cell_angle_gamma 90.00
_symmetry_space_group_name_H-M 'F -4 3 m'
_symmetry_Int_Tables_number 216
_symmetry_space_group_name_Hall 'F -4 2 3'
loop_
_atom_site_label
_atom_site_fract_x
_atom_site_fract_y
_atom_site_fract_z
Al1 0.000 0.000 0.000
Zn1 0.000 0.000 0.500
Cr1 0.250 0.250 0.250
```

***

Number 1: M_tot 0.7774 μB/atom. Number 2: M_tot 0.7121 μB/atom. Number 3: M_tot 0.7944 μB/atom. Number 4: M_tot 0.2462 μB/atom. Number 5: M_tot 0.1265 μB/atom. Number 6: M_tot 0.9770 μB/atom.